Entry A
VASP calculation (PBE-GGA) on a geometry-optimized PrY6Er structure.

Cell lengths 6.4909, 6.4909, 6.4909 Å; angles 96.18, 96.18, 96.18 degrees
With the nearest neighbours (Å) after each atom.
Fractional coordinates of all 8 atoms:
Pr (0.0000, 0.0000, 0.0000)  12 Y 3.53-3.78
Y (0.0426, 0.7470, 0.4558)  4 Y 3.32-3.39, 1 Er 3.52, 1 Pr 3.53
Y (0.2530, 0.5442, 0.9574)  4 Y 3.32-3.39, 1 Er 3.52, 1 Pr 3.53
Y (0.4558, 0.0426, 0.7470)  4 Y 3.32-3.39, 1 Er 3.52, 1 Pr 3.53
Y (0.5442, 0.9574, 0.2530)  4 Y 3.32-3.39, 1 Er 3.52, 1 Pr 3.53
Y (0.7470, 0.4558, 0.0426)  4 Y 3.32-3.39, 1 Er 3.52, 1 Pr 3.53
Y (0.9574, 0.2530, 0.5442)  4 Y 3.32-3.39, 1 Er 3.52, 1 Pr 3.53
Er (0.5000, 0.5000, 0.5000)  12 Y 3.52-3.76

Calculated values
- space-group type = No. 148

Entry B
VASP calculation (PBE-GGA) on a geometry-optimized PrY6Er structure.

Cell lengths 6.5858, 6.7980, 6.9702 Å; angles 118.63, 103.10, 90.29 degrees
With the nearest neighbours (Å) after each atom.
Fractional coordinates of all 8 atoms:
Pr (0.0000, 0.0000, 0.0000)  2 Er 3.29, 4 Y 3.44-3.51
Y (0.2343, 0.5784, 0.4861)  6 Y 3.30-3.68, 1 Er 3.37
Y (0.2535, 0.5477, 0.0034)  5 Y 3.30-3.68, 1 Er 3.48, 1 Pr 3.51
Y (0.2721, 0.0956, 0.5264)  5 Y 3.30-3.68, 1 Pr 3.44, 1 Er 3.66
Y (0.7279, 0.9044, 0.4736)  5 Y 3.30-3.68, 1 Pr 3.44, 1 Er 3.66
Y (0.7465, 0.4523, 0.9966)  5 Y 3.30-3.68, 1 Er 3.48, 1 Pr 3.51
Y (0.7657, 0.4216, 0.5139)  6 Y 3.30-3.68, 1 Er 3.37
Er (0.5000, 0.0000, 0.0000)  2 Pr 3.29, 6 Y 3.37-3.66

Calculated values
- space-group type = No. 2

Result of the stability comparison: entry B is the least stable of them.

Entry A
VASP calculation (PBE-GGA) on a geometry-optimized Pr3Y7Er structure.

Cell lengths 6.9730, 5.5669, 10.1256 Å; angles 90.00, 108.41, 90.00 degrees
With the nearest neighbours (Å) after each atom.
Fractional coordinates of all 11 atoms:
Pr (0.0000, 0.0000, 0.0000)  2 Er 3.49, 10 Y 3.56-3.86
Pr (0.2788, 0.5000, 0.4937)  1 Pr 3.05, 3 Y 3.37-3.41
Pr (0.7212, 0.5000, 0.5063)  1 Pr 3.05, 3 Y 3.37-3.41
Y (0.0000, 0.0000, 0.5000)  4 Pr 3.41, 2 Y 3.80
Y (0.1504, 0.5000, 0.7875)  3 Y 3.32-3.62, 2 Pr 3.37-3.42
Y (0.3203, 0.5000, 0.1328)  5 Y 3.32-3.62, 2 Er 3.49, 2 Pr 3.56
Y (0.4296, 0.0000, 0.3287)  3 Y 3.29-3.36, 1 Er 3.51, 4 Pr 3.57-3.58
Y (0.5704, 0.0000, 0.6713)  3 Y 3.29-3.36, 1 Er 3.51, 4 Pr 3.57-3.58
Y (0.6797, 0.5000, 0.8672)  5 Y 3.32-3.62, 2 Er 3.49, 2 Pr 3.56
Y (0.8496, 0.5000, 0.2125)  3 Y 3.32-3.62, 2 Pr 3.37-3.42
Er (0.5000, 0.0000, 0.0000)  2 Pr 3.49, 10 Y 3.49-3.87

Calculated values
- space-group type = No. 10

Entry B
VASP calculation (PBE-GGA) on a geometry-optimized Pr3Y7Er structure.

Cell lengths 7.1396, 7.1396, 8.7340 Å; angles 90.00, 90.00, 120.00 degrees
With the nearest neighbours (Å) after each atom.
Fractional coordinates of all 11 atoms:
Pr (0.0007, 0.5003, 0.0000)  4 Pr 3.56-3.58, 5 Y 3.59-3.61, 1 Er 3.60
Pr (0.4997, 0.5003, 0.0000)  4 Pr 3.56-3.58, 5 Y 3.59-3.61, 1 Er 3.60
Pr (0.4997, 0.9993, 0.0000)  4 Pr 3.56-3.58, 5 Y 3.59-3.61, 1 Er 3.60
Y (0.1677, 0.3353, 0.3387)  1 Er 3.49, 8 Y 3.51-3.59, 2 Pr 3.60
Y (0.1677, 0.8323, 0.3387)  1 Er 3.49, 8 Y 3.51-3.59, 2 Pr 3.60
Y (0.3347, 0.1673, 0.6637)  7 Y 3.50-3.58, 2 Er 3.57, 2 Pr 3.59
Y (0.6647, 0.8323, 0.3387)  1 Er 3.49, 8 Y 3.51-3.59, 2 Pr 3.60
Y (0.6667, 0.3333, 0.3391)  9 Y 3.50-3.57, 3 Pr 3.61
Y (0.8327, 0.1673, 0.6637)  7 Y 3.50-3.58, 2 Er 3.57, 2 Pr 3.59
Y (0.8327, 0.6653, 0.6637)  7 Y 3.50-3.58, 2 Er 3.57, 2 Pr 3.59
Er (0.3333, 0.6667, 0.6619)  9 Y 3.49-3.57, 3 Pr 3.60

Calculated values
- space-group type = No. 156

Result of the stability comparison: entry B is the least stable of them.

Entry A
VASP calculation (PBE-GGA) on a geometry-optimized Pr4Y8Er3 structure.

Cell lengths 9.3533, 9.3533, 6.8018 Å; angles 111.21, 111.21, 87.28 degrees
With the nearest neighbours (Å) after each atom.
Fractional coordinates of all 15 atoms:
Pr (0.0000, 0.0000, 0.0000)  6 Y 3.29-3.56, 2 Pr 3.40
Pr (0.0000, 0.0000, 0.5000)  2 Pr 3.40, 4 Y 3.57-3.67
Pr (0.0000, 0.5000, 0.0000)  4 Y 3.24-3.38, 2 Er 3.40
Pr (0.5000, 0.0000, 0.0000)  4 Y 3.24-3.38, 2 Er 3.40
Y (0.2549, 0.7451, 0.0000)  3 Er 3.16-3.39, 3 Pr 3.29-3.38
Y (0.2672, 0.2672, 0.5148)  3 Er 3.23, 2 Y 3.27-3.53, 2 Pr 3.56-3.57
Y (0.2713, 0.2713, 0.0384)  1 Er 3.23, 3 Pr 3.24-3.55, 4 Y 3.27-3.60
Y (0.3606, 0.6394, 0.5000)  7 Y 3.60-3.67, 4 Er 3.67-3.85, 2 Pr 3.68
Y (0.6394, 0.3606, 0.5000)  7 Y 3.60-3.67, 4 Er 3.67-3.85, 2 Pr 3.68
Y (0.7287, 0.7287, 0.9616)  1 Er 3.23, 3 Pr 3.24-3.55, 4 Y 3.27-3.60
Y (0.7328, 0.7328, 0.4852)  3 Er 3.23, 2 Y 3.27-3.53, 2 Pr 3.56-3.57
Y (0.7451, 0.2549, 0.0000)  3 Er 3.16-3.39, 3 Pr 3.29-3.38
Er (0.0000, 0.5000, 0.5000)  4 Y 3.23-3.39, 2 Pr 3.40
Er (0.5000, 0.0000, 0.5000)  4 Y 3.23-3.39, 2 Pr 3.40
Er (0.5000, 0.5000, 0.0000)  6 Y 3.16-3.23

Calculated values
- space-group type = No. 12

Entry B
VASP calculation (PBE-GGA) on a geometry-optimized Pr4Y8Er3 structure.

Cell lengths 12.5650, 12.5650, 12.5650 Å; angles 32.38, 32.38, 32.38 degrees
With the nearest neighbours (Å) after each atom.
Fractional coordinates of all 15 atoms:
Pr (0.0000, 0.0000, 0.0000)  6 Er 3.50, 6 Y 3.57
Pr (0.1638, 0.1638, 0.1638)  4 Y 3.28-3.56
Pr (0.5000, 0.5000, 0.5000)  6 Y 3.63, 6 Pr 4.05
Pr (0.8362, 0.8362, 0.8362)  4 Y 3.28-3.56
Y (0.2497, 0.2497, 0.7469)  6 Y 3.48-3.52, 2 Er 3.56, 3 Pr 3.56-3.63
Y (0.2497, 0.7469, 0.2497)  6 Y 3.48-3.52, 2 Er 3.56, 3 Pr 3.56-3.63
Y (0.2531, 0.7503, 0.7503)  6 Y 3.48-3.52, 2 Er 3.56, 3 Pr 3.56-3.63
Y (0.2556, 0.2556, 0.2556)  1 Pr 3.28, 3 Er 3.43, 6 Y 3.51
Y (0.7444, 0.7444, 0.7444)  1 Pr 3.28, 3 Er 3.43, 6 Y 3.51
Y (0.7469, 0.2497, 0.2497)  6 Y 3.48-3.52, 2 Er 3.56, 3 Pr 3.56-3.63
Y (0.7503, 0.2531, 0.7503)  6 Y 3.48-3.52, 2 Er 3.56, 3 Pr 3.56-3.63
Y (0.7503, 0.7503, 0.2531)  6 Y 3.48-3.52, 2 Er 3.56, 3 Pr 3.56-3.63
Er (0.0000, 0.5000, 0.5000)  6 Y 3.43-3.56, 4 Er 3.50, 2 Pr 3.50
Er (0.5000, 0.0000, 0.5000)  6 Y 3.43-3.56, 4 Er 3.50, 2 Pr 3.50
Er (0.5000, 0.5000, 0.0000)  6 Y 3.43-3.56, 2 Pr 3.50, 4 Er 3.50

Calculated values
- space-group type = No. 166

Result of the stability comparison: entry A is the least stable of them.

Entry A
VASP calculation (PBE-GGA) on a geometry-optimized Pr4Y3Er2 structure.

Cell lengths 6.7343, 6.7343, 14.5422 Å; angles 115.03, 115.03, 31.56 degrees
With the nearest neighbours (Å) after each atom.
Fractional coordinates of all 9 atoms:
Pr (0.2190, 0.2190, 0.1084)  5 Y 3.48-3.67, 2 Er 3.54, 2 Pr 3.66
Pr (0.2772, 0.2772, 0.6280)  4 Y 3.64-4.07, 3 Er 3.65-3.66, 4 Pr 3.66-3.92
Pr (0.7228, 0.7228, 0.3720)  4 Y 3.64-4.07, 3 Er 3.65-3.66, 4 Pr 3.66-3.92
Pr (0.7810, 0.7810, 0.8916)  5 Y 3.48-3.67, 2 Er 3.54, 2 Pr 3.66
Y (0.4929, 0.4929, 0.1122)  3 Y 3.35-3.66, 2 Er 3.41, 6 Pr 3.48-3.67
Y (0.5000, 0.5000, 0.5000)  4 Er 3.36, 2 Y 3.66, 4 Pr 3.72
Y (0.5071, 0.5071, 0.8878)  3 Y 3.35-3.66, 2 Er 3.41, 6 Pr 3.48-3.67
Er (0.0474, 0.0474, 0.7086)  4 Y 3.36-3.41, 5 Pr 3.54-3.66, 2 Er 3.66
Er (0.9526, 0.9526, 0.2914)  4 Y 3.36-3.41, 5 Pr 3.54-3.66, 2 Er 3.66

Calculated values
- space-group type = No. 12

Entry B
VASP calculation (PBE-GGA) on a geometry-optimized Pr4Y3Er2 structure.

Cell lengths 9.8906, 9.8906, 7.1521 Å; angles 90.00, 90.00, 120.23 degrees
With the nearest neighbours (Å) after each atom.
Fractional coordinates of all 18 atoms:
Pr (0.1521, 0.1780, 0.0000)  4 Pr 3.28-3.60, 1 Er 3.30, 2 Y 3.64
Pr (0.1538, 0.4763, 0.5000)  2 Pr 3.30-3.33, 3 Er 3.30-3.60, 2 Y 3.59
Pr (0.1780, 0.1521, 0.5000)  4 Pr 3.28-3.60, 1 Er 3.30, 2 Y 3.64
Pr (0.4763, 0.1538, 0.0000)  2 Pr 3.30-3.33, 3 Er 3.30-3.60, 2 Y 3.59
Pr (0.5237, 0.8462, 0.0000)  2 Pr 3.30-3.33, 3 Er 3.30-3.60, 2 Y 3.59
Pr (0.8220, 0.8479, 0.5000)  4 Pr 3.28-3.60, 1 Er 3.30, 2 Y 3.64
Pr (0.8462, 0.5237, 0.5000)  2 Pr 3.30-3.33, 3 Er 3.30-3.60, 2 Y 3.59
Pr (0.8479, 0.8220, 0.0000)  4 Pr 3.28-3.60, 1 Er 3.30, 2 Y 3.64
Y (0.1714, 0.8286, 0.2500)  4 Er 3.53-3.89, 2 Y 3.58, 6 Pr 3.59-3.84
Y (0.1714, 0.8286, 0.7500)  4 Er 3.53-3.89, 2 Y 3.58, 6 Pr 3.59-3.84
Y (0.5000, 0.5000, 0.2500)  2 Y 3.58, 8 Pr 3.76, 4 Er 3.77
Y (0.5000, 0.5000, 0.7500)  2 Y 3.58, 8 Pr 3.76, 4 Er 3.77
Y (0.8286, 0.1714, 0.2500)  4 Er 3.53-3.89, 2 Y 3.58, 6 Pr 3.59-3.84
Y (0.8286, 0.1714, 0.7500)  4 Er 3.53-3.89, 2 Y 3.58, 6 Pr 3.59-3.84
Er (0.1773, 0.5233, 0.0000)  4 Pr 3.30-3.60, 1 Er 3.30, 2 Y 3.53
Er (0.4767, 0.8227, 0.5000)  4 Pr 3.30-3.60, 1 Er 3.30, 2 Y 3.53
Er (0.5233, 0.1773, 0.5000)  4 Pr 3.30-3.60, 1 Er 3.30, 2 Y 3.53
Er (0.8227, 0.4767, 0.0000)  4 Pr 3.30-3.60, 1 Er 3.30, 2 Y 3.53

Calculated values
- space-group type = No. 66

Result of the stability comparison: entry A is the least stable of them.

Entry A
VASP calculation (PBE-GGA) on a geometry-optimized Pr2Y3Er7 structure.

Cell lengths 19.0603, 19.0603, 3.6208 Å; angles 90.00, 90.00, 162.87 degrees
With the nearest neighbours (Å) after each atom.
Fractional coordinates of all 12 atoms:
Pr (0.1466, 0.8534, 0.0000)  3 Er 3.16-3.40
Pr (0.8534, 0.1466, 0.0000)  3 Er 3.16-3.40
Y (0.3137, 0.6863, 0.5000)  2 Y 3.62, 6 Er 3.63-3.76, 4 Pr 3.69
Y (0.5000, 0.5000, 0.5000)  4 Er 3.37, 2 Y 3.62
Y (0.6863, 0.3137, 0.5000)  2 Y 3.62, 6 Er 3.63-3.76, 4 Pr 3.69
Er (0.0000, 0.0000, 0.0000)  4 Er 3.21, 4 Y 3.37
Er (0.0702, 0.9298, 0.5000)  6 Er 3.21-3.44, 2 Pr 3.40
Er (0.2304, 0.7696, 0.0000)  1 Pr 3.16, 2 Er 3.20
Er (0.4116, 0.5884, 0.0000)  6 Er 3.44-3.62, 2 Pr 3.59, 2 Y 3.79
Er (0.5884, 0.4116, 0.0000)  6 Er 3.44-3.62, 2 Pr 3.59, 2 Y 3.79
Er (0.7696, 0.2304, 0.0000)  1 Pr 3.16, 2 Er 3.20
Er (0.9298, 0.0702, 0.5000)  6 Er 3.21-3.44, 2 Pr 3.40

Calculated values
- space-group type = No. 65

Entry B
VASP calculation (PBE-GGA) on a geometry-optimized Pr2Y3Er7 structure.

Cell lengths 6.3337, 3.5165, 17.4327 Å; angles 90.00, 96.15, 90.00 degrees
With the nearest neighbours (Å) after each atom.
Fractional coordinates of all 12 atoms:
Pr (0.0586, 0.0000, 0.1739)  5 Er 3.42-3.50, 2 Pr 3.52, 4 Y 3.60-3.67
Pr (0.9414, 0.0000, 0.8261)  5 Er 3.42-3.50, 2 Pr 3.52, 4 Y 3.60-3.67
Y (0.4522, 0.5000, 0.8424)  2 Y 3.52, 7 Er 3.58-3.74, 4 Pr 3.60-3.67
Y (0.5000, 0.0000, 0.5000)  10 Er 3.51-3.62, 2 Y 3.52
Y (0.5478, 0.5000, 0.1576)  2 Y 3.52, 7 Er 3.58-3.74, 4 Pr 3.60-3.67
Er (0.0000, 0.5000, 0.5000)  8 Er 3.48-3.54, 4 Y 3.62
Er (0.2270, 0.0000, 0.6652)  1 Pr 3.50, 3 Y 3.51-3.70, 8 Er 3.52-3.63
Er (0.2562, 0.0000, 0.9991)  2 Er 3.09-3.25, 2 Pr 3.42-3.43
Er (0.2743, 0.5000, 0.3373)  7 Er 3.48-3.63, 2 Pr 3.50, 3 Y 3.51-3.74
Er (0.7257, 0.5000, 0.6627)  7 Er 3.48-3.63, 2 Pr 3.50, 3 Y 3.51-3.74
Er (0.7438, 0.0000, 0.0009)  2 Er 3.09-3.25, 2 Pr 3.42-3.43
Er (0.7730, 0.0000, 0.3348)  1 Pr 3.50, 3 Y 3.51-3.70, 8 Er 3.52-3.63

Calculated values
- space-group type = No. 10

Result of the stability comparison: entry A is the least stable of them.